(1)
An optimized crystal structure of NaPrBi, computed with PBE.

The structure belongs to space group F-43m (No. 216); the cell edges are 7.487, 7.487 and 7.487 Å and the angles 90.00°, 90.00° and 90.00°. The inequivalent atoms are Na at (0.000, 0.000, 0.000), Pr at (0.000, 0.000, 0.500) and Bi at (0.250, 0.250, 0.250).

***

(2)
An optimized crystal structure of Sr2ZrB, computed with PBE.

The structure belongs to space group F-43m (No. 216); the cell edges are 7.347, 7.347 and 7.347 Å and the angles 90.00°, 90.00° and 90.00°. The inequivalent atoms are Sr at (0.000, 0.000, 0.000), Sr at (0.250, 0.250, 0.250), Zr at (0.000, 0.000, 0.500) and B at (0.250, 0.250, 0.750).

***

(3)
An optimized crystal structure of PmPaTe, computed with PBE.

The structure belongs to space group F-43m (No. 216); the cell edges are 7.278, 7.278 and 7.278 Å and the angles 90.00°, 90.00° and 90.00°. The inequivalent atoms are Pm at (0.000, 0.000, 0.000), Pa at (0.000, 0.000, 0.500) and Te at (0.250, 0.250, 0.750).

The calculation puts the energy relative to the lowest polymorph listed for this composition at 0 meV per atom.

***

(4)
An optimized crystal structure of NaB4Pt, computed with PBE.

The structure belongs to space group Immm (No. 71); the cell edges are 2.647, 5.687 and 8.120 Å and the angles 90.00°, 90.00° and 90.00°. The inequivalent atoms are Na at (0.000, 0.000, 0.000), B at (0.000, 0.354, 0.233) and Pt at (0.000, 0.000, 0.500).

The calculation puts the energy relative to the lowest polymorph listed for this composition at 0 meV per atom.

***

(5)
An optimized crystal structure of CsHoSe2O8, computed with PBE.

The structure belongs to space group P-3m1 (No. 164); the cell edges are 5.6854, 5.6854 and 8.0288 Å and the angles 90.00°, 90.00° and 120.00°. The inequivalent atoms are Cs at (0.0000, 0.0000, 0.0000), Ho at (0.0000, 0.0000, 0.5000), Se at (0.3333, 0.6667, 0.2569), O at (0.1754, 0.3508, 0.3315) and O at (0.3333, 0.6667, 0.0528).

***

(6)
An optimized crystal structure of TmS2ICl, computed with PBE.

The structure belongs to space group P-1 (No. 2); the cell edges are 7.385, 7.413 and 7.845 Å and the angles 115.15°, 91.17° and 115.97°. The inequivalent atoms are Tm at (0.154, 0.333, 0.000), S at (0.046, 0.144, 0.249), S at (0.208, 0.962, 0.944), I at (0.411, 0.386, 0.715) and Cl at (0.114, 0.677, 0.241).

***

(7)
An optimized crystal structure of Hf2TcPt, computed with PBE.

The structure belongs to space group F-43m (No. 216); the cell edges are 6.532, 6.532 and 6.532 Å and the angles 90.00°, 90.00° and 90.00°. The inequivalent atoms are Hf at (0.000, 0.000, 0.000), Hf at (0.250, 0.250, 0.250), Tc at (0.250, 0.250, 0.750) and Pt at (0.000, 0.000, 0.500).

For the calculated formation energy, the calculation gives -265 meV/atom.

***

(8)
An optimized crystal structure of ScAl2Ag, computed with PBE.

The structure belongs to space group F-43m (No. 216); the cell edges are 6.578, 6.578 and 6.578 Å and the angles 90.00°, 90.00° and 90.00°. The inequivalent atoms are Sc at (0.000, 0.000, 0.000), Al at (0.000, 0.000, 0.500), Al at (0.250, 0.250, 0.750) and Ag at (0.250, 0.250, 0.250).

***

Number 1: energy -3.80 eV per atom. Number 2: energy -3.46 eV per atom. Number 3: energy -5.84 eV per atom. Number 4: energy -5.45 eV per atom. Number 5: energy -5.88 eV per atom. Number 6: energy -4.50 eV per atom. Number 7: energy -9.35 eV per atom. Number 8: energy -4.39 eV per atom.